# GGA-PBE Pm2Nd2Sm, relaxed
# **Formation energy from the elements**: 0.224 eV/atom
# **Polymorph energy (0 for the lowest one)**: 214 meV per atom
# **Total moment**: 0.00 μB/f.u.
# **Energy**: -4.5268 eV per atom
# **V**: 715.5 Å³ per cell
data_Pm2Nd2Sm
_symmetry_space_group_name_H-M 'C 1 2/c 1'
_symmetry_Int_Tables_number 15
_symmetry_space_group_name_Hall '-C 2yc'
_cell_length_a 8.7626
_cell_length_b 9.7189
_cell_length_c 9.0562
_cell_angle_alpha 90.00
_cell_angle_beta 111.92
_cell_angle_gamma 90.00
loop_
_atom_site_label
_atom_site_fract_x
_atom_site_fract_y
_atom_site_fract_z
Pm1 0.0000 0.0000 0.0000
Pm2 0.2500 0.2500 0.0000
Nd1 0.1593 0.4079 0.6365
Sm1 0.0000 0.3009 0.2500